(1)
Crystalline Ba2LiLu at its relaxed geometry. Source: the Alexandria database, functional PBE.

- Fermi-level density of states: 6.09 states/eV per cell
- M_tot: 0.00 μB/f.u.
- E above lowest polymorph: 0.0 meV/atom
- DFT formation energy: 0.21 eV/atom

Cell: 4.401 4.401 8.778 Å, 90.00 90.00 90.00°
Space group P4/mmm (No. 123)
Asymmetric unit:
1 Ba 0.000 0.000 0.244 [2 per cell]
2 Li 0.500 0.500 0.000 [1 per cell]
3 Lu 0.500 0.500 0.500 [1 per cell]

***

(2)
Crystalline AsWSe2 at its relaxed geometry. Source: the Alexandria database, functional PBE.

- Fermi-level density of states: 2.01 states/eV per cell
- M_tot: 0.00 μB/f.u.
- Electronic total energy: -5.943 eV per atom

Cell: 3.301 3.301 7.382 Å, 90.00 90.00 90.00°
Space group P4mm (No. 99)
Asymmetric unit:
1 As 0.000 0.000 0.000 [1 per cell]
2 W 0.500 0.500 0.811 [1 per cell]
3 Se 0.000 0.000 0.611 [1 per cell]
4 Se 0.500 0.500 0.185 [1 per cell]

***

(3)
Crystalline LiVZn at its relaxed geometry. Source: the Alexandria database, functional PBE.

- Fermi-level density of states: 10.80 states/eV per cell
- M_tot: 0.37 μB/f.u.
- E above lowest polymorph: 94.6 meV/atom
- DFT formation energy: 0.10 eV/atom

Cell: 7.384 2.779 8.533 Å, 90.00 90.00 90.00°
Space group Pnma (No. 62)
Asymmetric unit:
1 Li 0.136 0.250 0.088 [4 per cell]
2 V 0.083 0.250 0.415 [4 per cell]
3 Zn 0.141 0.250 0.770 [4 per cell]

***

(4)
Crystalline SrAlTl2 at its relaxed geometry. Source: the Alexandria database, functional PBE.

- Fermi-level density of states: 9.47 states/eV per cell
- M_tot: 0.00 μB/f.u.
- DFT formation energy: 0.04 eV/atom

Cell: 5.180 5.180 19.881 Å, 90.00 90.00 90.00°
Space group I-42d (No. 122)
Asymmetric unit:
1 Sr 0.000 0.000 0.000 [4 per cell]
2 Al 0.000 0.000 0.500 [4 per cell]
3 Tl 0.162 0.250 0.625 [8 per cell]

***

(5)
Crystalline LaPr7Ho2 at its relaxed geometry. Source: the Alexandria database, functional PBE.

- Fermi-level density of states: 27.93 states/eV per cell
- M_tot: 0.00 μB/f.u.
- E above lowest polymorph: 0.0 meV/atom
- DFT formation energy: 0.18 eV/atom

Cell: 18.277 5.630 7.917 Å, 90.00 115.55 90.00°
Space group C2/m (No. 12)
Asymmetric unit:
1 La 0.000 0.000 0.000 [2 per cell]
2 Pr 0.000 0.500 0.500 [2 per cell]
3 Pr 0.130 0.500 0.932 [4 per cell]
4 Pr 0.131 0.500 0.331 [4 per cell]
5 Pr 0.156 0.000 0.658 [4 per cell]
6 Ho 0.213 0.000 0.212 [4 per cell]

***

(6)
Crystalline SbMo2Br at its relaxed geometry. Source: the Alexandria database, functional PBE.

- Fermi-level density of states: 4.30 states/eV per cell
- M_tot: 0.00 μB/f.u.
- E above lowest polymorph: 484.8 meV/atom

Cell: 4.672 4.672 3.250 Å, 90.00 90.00 90.00°
Space group P4/mmm (No. 123)
Asymmetric unit:
1 Sb 0.000 0.000 0.000 [1 per cell]
2 Mo 0.000 0.500 0.500 [2 per cell]
3 Br 0.500 0.500 0.000 [1 per cell]

***

What is the M_tot in the third record?
0.37 μB/f.u.

***

Number 4 is which compound?
SrAlTl2

***

The lowest Fermi-level density of states belongs to which entry?
AsWSe2

***

Repeat the first record exactly.
Crystalline Ba2LiLu at its relaxed geometry. Source: the Alexandria database, functional PBE.

- Fermi-level density of states: 6.09 states/eV per cell
- M_tot: 0.00 μB/f.u.
- E above lowest polymorph: 0.0 meV/atom
- DFT formation energy: 0.21 eV/atom

Cell: 4.401 4.401 8.778 Å, 90.00 90.00 90.00°
Space group P4/mmm (No. 123)
Asymmetric unit:
1 Ba 0.000 0.000 0.244 [2 per cell]
2 Li 0.500 0.500 0.000 [1 per cell]
3 Lu 0.500 0.500 0.500 [1 per cell]